Crystalline NbCrHI2 at its relaxed geometry, computed with PBEsol.

Calculated volume ... 18.5 Å³/atom
Spin magnetization ... 0.52 μB/atom
Energy ... -24.81 eV per cell
Calculated density ... 7.16 g/cm³

abc: 3.6315 5.0508 5.0508
angles: 90.00 90.00 90.00
With the nearest neighbours (Å) after each atom.
Fractional coordinates of all 5 atoms:
1 I 0.0000 0.0000 0.5000  2 H 2.53
2 I 0.0000 0.5000 0.0000  2 H 2.53
3 Cr 0.5000 0.5000 0.5000  8 I 3.11
4 Nb 0.5000 0.0000 0.0000  2 H 1.82
5 H 0.0000 0.0000 0.0000  2 Nb 1.82


Crystalline CrInH3 at its relaxed geometry, computed with PBEsol.

Calculated volume ... 8.4 Å³/atom
Spin magnetization ... 0.36 μB/atom
Energy ... -21.82 eV per cell
Calculated density ... 6.72 g/cm³

abc: 3.4745 3.4745 3.4745
angles: 90.00 90.00 90.00
With the nearest neighbours (Å) after each atom.
Fractional coordinates of all 5 atoms:
1 Cr 0.0000 0.0000 0.0000  6 H 1.74
2 H 0.0000 0.5000 0.0000  2 Cr 1.74
3 H 0.0000 0.0000 0.5000  2 Cr 1.74
4 H 0.5000 0.0000 0.0000  2 Cr 1.74
5 In 0.5000 0.5000 0.5000  12 H 2.46


Crystalline Cr3HIr at its relaxed geometry, computed with PBEsol.

Calculated volume ... 9.9 Å³/atom
Spin magnetization ... 0.00 μB/atom
Energy ... -44.10 eV per cell
Calculated density ... 11.66 g/cm³

abc: 3.6774 3.6774 3.6774
angles: 90.00 90.00 90.00
With the nearest neighbours (Å) after each atom.
Fractional coordinates of all 5 atoms:
1 Cr 0.0000 0.5000 0.0000  2 H 1.84
2 Cr 0.0000 0.0000 0.5000  2 H 1.84
3 Cr 0.5000 0.0000 0.0000  2 H 1.84
4 Ir 0.5000 0.5000 0.5000  12 Cr 2.60
5 H 0.0000 0.0000 0.0000  6 Cr 1.84


Crystalline Cr2HIr2 at its relaxed geometry, computed with PBEsol.

Calculated volume ... 12.1 Å³/atom
Spin magnetization ... 0.00 μB/atom
Energy ... -39.80 eV per cell
Calculated density ... 13.46 g/cm³

abc: 3.0182 3.0182 6.9643
angles: 102.51 102.51 90.00
With the nearest neighbours (Å) after each atom.
Fractional coordinates of all 5 atoms:
1 Cr 0.2500 0.7500 0.5000  4 Cr 2.13
2 Cr 0.7500 0.2500 0.5000  4 Cr 2.13
3 Ir 0.4036 0.4036 0.8073  4 H 2.49, 4 Cr 2.54, 1 Ir 2.56
4 Ir 0.5964 0.5964 0.1927  4 H 2.49, 4 Cr 2.54, 1 Ir 2.56
5 H 0.0000 0.0000 0.0000  8 Ir 2.49


Crystalline CrSnH2Ir at its relaxed geometry, computed with PBEsol.

Calculated volume ... 14.5 Å³/atom
Spin magnetization ... 0.66 μB/atom
Energy ... -27.10 eV per cell
Calculated density ... 8.34 g/cm³

abc: 3.5837 3.5837 5.6606
angles: 90.00 90.00 90.00
With the nearest neighbours (Å) after each atom.
Fractional coordinates of all 5 atoms:
1 Cr 0.0000 0.0000 0.0000  4 H 1.79
2 Ir 0.5000 0.5000 0.5000  4 Sn 2.53
3 Sn 0.0000 0.0000 0.5000  4 Ir 2.53, 2 Cr 2.83
4 H 0.0000 0.5000 0.0000  2 Cr 1.79
5 H 0.5000 0.0000 0.0000  2 Cr 1.79


Crystalline KCrH2 at its relaxed geometry, computed with PBEsol.

Calculated volume ... 14.3 Å³/atom
Spin magnetization ... 1.25 μB/atom
Energy ... -14.52 eV per cell
Calculated density ... 2.70 g/cm³

abc: 4.3272 4.3272 4.3272
angles: 60.00 60.00 60.00
With the nearest neighbours (Å) after each atom.
Fractional coordinates of all 4 atoms:
1 Cr 0.5000 0.5000 0.5000  8 H 2.65
2 K 0.0000 0.0000 0.0000  8 H 2.65
3 H 0.2500 0.2500 0.2500  4 Cr 2.65, 4 K 2.65
4 H 0.7500 0.7500 0.7500  4 K 2.65, 4 Cr 2.65


Crystalline KCr2H at its relaxed geometry, computed with PBEsol.

Calculated volume ... 19.2 Å³/atom
Spin magnetization ... 1.99 μB/atom
Energy ... -41.69 eV per cell
Calculated density ... 3.12 g/cm³

abc: 6.0077 6.0077 6.0077
angles: 60.00 60.00 60.00
With the nearest neighbours (Å) after each atom.
Fractional coordinates of all 8 atoms:
1 Cr 0.6250 0.1250 0.6250  2 H 1.84
2 Cr 0.1250 0.6250 0.6250  2 H 1.84
3 Cr 0.6250 0.6250 0.1250  2 H 1.84
4 Cr 0.6250 0.6250 0.6250  2 H 1.84
5 K 0.0000 0.0000 0.0000  12 Cr 3.52, 4 H 3.68, 4 K 3.68
6 K 0.2500 0.2500 0.2500  12 Cr 3.52, 4 H 3.68, 4 K 3.68
7 H 0.5000 0.5000 0.5000  4 Cr 1.84
8 H 0.7500 0.7500 0.7500  4 Cr 1.84


Crystalline K3CrH6O6 at its relaxed geometry, computed with PBEsol.

Calculated volume ... 11.1 Å³/atom
Spin magnetization ... 0.19 μB/atom
Energy ... -173.44 eV per cell
Calculated density ... 2.55 g/cm³

abc: 7.1199 7.1199 7.1199
angles: 96.23 96.23 96.23
With the nearest neighbours (Å) after each atom.
Fractional coordinates of all 32 atoms:
1 K 0.1278 0.3722 0.7500  8 O 2.71-3.02, 4 H 2.73-2.86
2 K 0.7500 0.1278 0.3722  8 O 2.71-3.02, 4 H 2.73-2.86
3 K 0.3722 0.7500 0.1278  8 O 2.71-3.02, 4 H 2.73-2.86
4 K 0.8722 0.6278 0.2500  8 O 2.71-3.02, 4 H 2.73-2.86
5 K 0.2500 0.8722 0.6278  8 O 2.71-3.02, 4 H 2.73-2.86
6 K 0.6278 0.2500 0.8722  8 O 2.71-3.02, 4 H 2.73-2.86
7 Cr 0.0000 0.0000 0.0000  6 O 2.00
8 Cr 0.5000 0.5000 0.5000  6 O 2.00
9 H 0.1212 0.0887 0.3341  1 O 0.98
10 H 0.3341 0.1212 0.0887  1 O 0.98
11 H 0.0887 0.3341 0.1212  1 O 0.98
12 H 0.4113 0.3788 0.1659  1 O 0.98
13 H 0.1659 0.4113 0.3788  1 O 0.98
14 H 0.3788 0.1659 0.4113  1 O 0.98
15 H 0.8788 0.9113 0.6659  1 O 0.98
16 H 0.6659 0.8788 0.9113  1 O 0.98
17 H 0.9113 0.6659 0.8788  1 O 0.98
18 H 0.5887 0.6212 0.8341  1 O 0.98
19 H 0.8341 0.5887 0.6212  1 O 0.98
20 H 0.6212 0.8341 0.5887  1 O 0.98
21 O 0.8990 0.0394 0.7358  1 H 0.98
22 O 0.7358 0.8990 0.0394  1 H 0.98
23 O 0.0394 0.7358 0.8990  1 H 0.98
24 O 0.4606 0.6010 0.7642  1 H 0.98
25 O 0.7642 0.4606 0.6010  1 H 0.98
26 O 0.6010 0.7642 0.4606  1 H 0.98
27 O 0.1010 0.9606 0.2642  1 H 0.98
28 O 0.2642 0.1010 0.9606  1 H 0.98
29 O 0.9606 0.2642 0.1010  1 H 0.98
30 O 0.5394 0.3990 0.2358  1 H 0.98
31 O 0.2358 0.5394 0.3990  1 H 0.98
32 O 0.3990 0.2358 0.5394  1 H 0.98


Crystalline KCr3H6S2O14 at its relaxed geometry, computed with PBEsol.

Calculated volume ... 9.7 Å³/atom
Spin magnetization ... 0.35 μB/atom
Energy ... -173.55 eV per cell
Calculated density ... 3.21 g/cm³

abc: 7.0141 7.0141 7.0141
angles: 61.64 61.64 61.64
With the nearest neighbours (Å) after each atom.
Fractional coordinates of all 26 atoms:
1 K 0.0000 0.0000 0.0000  12 O 2.80-2.90, 6 H 3.13
2 Cr 0.5000 0.0000 0.0000  6 O 1.96-2.00
3 Cr 0.0000 0.5000 0.0000  6 O 1.96-2.00
4 Cr 0.0000 0.0000 0.5000  6 O 1.96-2.00
5 H 0.6886 0.6886 0.2910  1 O 0.99
6 H 0.6886 0.2910 0.6886  1 O 0.99
7 H 0.2910 0.6886 0.6886  1 O 0.99
8 H 0.7090 0.3114 0.3114  1 O 0.99
9 H 0.3114 0.3114 0.7090  1 O 0.99
10 H 0.3114 0.7090 0.3114  1 O 0.99
11 S 0.6937 0.6937 0.6937  4 O 1.47-1.49
12 S 0.3063 0.3063 0.3063  4 O 1.47-1.49
13 O 0.3930 0.3930 0.3930  1 S 1.47
14 O 0.6070 0.6070 0.6070  1 S 1.47
15 O 0.1644 0.5043 0.1644  1 S 1.49
16 O 0.1644 0.1644 0.5043  1 S 1.49
17 O 0.5043 0.1644 0.1644  1 S 1.49
18 O 0.4957 0.8356 0.8356  1 S 1.49
19 O 0.8356 0.4957 0.8356  1 S 1.49
20 O 0.8356 0.8356 0.4957  1 S 1.49
21 O 0.2638 0.8780 0.2638  1 H 0.99
22 O 0.2638 0.2638 0.8780  1 H 0.99
23 O 0.8780 0.2638 0.2638  1 H 0.99
24 O 0.1220 0.7362 0.7362  1 H 0.99
25 O 0.7362 0.1220 0.7362  1 H 0.99
26 O 0.7362 0.7362 0.1220  1 H 0.99


Crystalline K2ZnCr4H4O16 at its relaxed geometry, computed with PBEsol.

Calculated volume ... 13.3 Å³/atom
Spin magnetization ... 0.00 μB/atom
Energy ... -185.71 eV per cell
Calculated density ... 2.82 g/cm³

abc: 6.6168 7.6963 7.9619
angles: 87.02 80.45 64.32
With the nearest neighbours (Å) after each atom.
Fractional coordinates of all 27 atoms:
1 Cr 0.2796 0.5007 0.3394  4 O 1.60-1.77
2 Cr 0.7204 0.4993 0.6606  4 O 1.60-1.77
3 Cr 0.7487 0.2066 0.1615  4 O 1.60-1.76
4 Cr 0.2513 0.7934 0.8385  4 O 1.60-1.76
5 K 0.6898 0.7577 0.1844  7 O 2.75-2.98
6 K 0.3103 0.2423 0.8156  7 O 2.75-2.98
7 Zn 0.0000 0.0000 0.5000  6 O 2.05-2.10
8 O 0.1417 0.4955 0.1941  1 Cr 1.60
9 O 0.8583 0.5045 0.8059  1 Cr 1.60
10 O 0.8240 0.2868 0.5719  1 Cr 1.62
11 O 0.1760 0.7132 0.4281  1 Cr 1.62
12 O 0.2819 0.3369 0.4778  1 H 1.62, 1 Cr 1.63
13 O 0.7181 0.6631 0.5222  1 H 1.62, 1 Cr 1.63
14 O 0.5644 0.4401 0.2448  2 Cr 1.76-1.77
15 O 0.4356 0.5599 0.7552  2 Cr 1.76-1.77
16 O 0.9874 0.2096 0.0798  1 Cr 1.61, 1 H 1.73
17 O 0.0126 0.7904 0.9202  1 Cr 1.61, 1 H 1.73
18 O 0.6338 0.1521 0.0231  1 Cr 1.60
19 O 0.3662 0.8479 0.9769  1 Cr 1.60
20 O 0.7910 0.0492 0.3142  1 Cr 1.64
21 O 0.2090 0.9508 0.6858  1 Cr 1.64
22 O 0.7648 0.9416 0.6652  2 H 1.00-1.01
23 O 0.2352 0.0584 0.3348  2 H 1.00-1.01
24 H 0.7464 0.8350 0.6093  1 O 1.01
25 H 0.2536 0.1650 0.3907  1 O 1.01
26 H 0.8367 0.8842 0.7683  1 O 1.00
27 H 0.1633 0.1158 0.2317  1 O 1.00


Crystalline LaCrH3 at its relaxed geometry, computed with PBEsol.

Calculated volume ... 10.2 Å³/atom
Spin magnetization ... 0.44 μB/atom
Energy ... -26.43 eV per cell
Calculated density ... 6.32 g/cm³

abc: 3.7069 3.7069 3.7069
angles: 90.00 90.00 90.00
With the nearest neighbours (Å) after each atom.
Fractional coordinates of all 5 atoms:
1 Cr 0.0000 0.0000 0.0000  6 H 1.85
2 H 0.0000 0.5000 0.0000  2 Cr 1.85
3 H 0.0000 0.0000 0.5000  2 Cr 1.85
4 H 0.5000 0.0000 0.0000  2 Cr 1.85
5 La 0.5000 0.5000 0.5000  12 H 2.62


Q: calculated density of number 3 (Cr3HIr)?
A: 11.66 g/cm³


Q: What is the energy in the fifth record?
A: -27.10 eV per cell


Q: spin magnetization of number 5 (CrSnH2Ir)?
A: 0.66 μB/atom